1.
PaGaNi3 PBE optimized geometry; total magnetic moment = 0.00 Bohr magnetons per cell; VASP energy = -6.339 eV/atom; E above lowest polymorph = 0.000 eV/atom; density = 10751 kg/m3
1.0
4.6303 0.0000 0.0000
0.0000 4.7330 -2.4904
0.0000 0.4034 6.5093
Pa Ni Ga
2 6 2
direct
0.7500 0.5805 0.1609
0.2500 0.4195 0.8391
0.5000 0.0000 0.0000
0.2500 0.3941 0.2980
0.0000 0.0000 0.0000
0.7500 0.6059 0.7020
0.7500 0.0961 0.7020
0.2500 0.9039 0.2980
0.2500 0.8110 0.6219
0.7500 0.1890 0.3781

---

2.
CaTbEr2Te4 PBE optimized geometry; total magnetic moment = 0.00 Bohr magnetons per cell; VASP energy = -4.878 eV/atom; E_form (uncorrected) = -10.7 eV per formula unit; density = 7339 kg/m3
1.0
-4.0036 -1.2452 1.1613
0.5449 -6.0279 -4.5847
2.5730 -1.8680 6.8677
Ca Er Te Tb
1 2 4 1
direct
0.0000 0.0000 0.0000
0.5000 0.0000 0.5000
0.0000 0.5000 0.5000
0.5000 0.2527 0.2559
0.0000 0.2487 0.7450
0.5000 0.7473 0.7441
0.0000 0.7513 0.2550
0.5000 0.5000 0.0000

---

3.
Rb2UPt2Se4 PBE optimized geometry; total magnetic moment = 0.90 Bohr magnetons per cell; VASP energy = -5.226 eV/atom; E_form (uncorrected) = -7.8 eV per formula unit; density = 7657 kg/m3
1.0
4.0572 0.0000 0.0000
0.0000 8.3411 0.4918
-2.0286 -2.8747 6.9754
Rb Se Pt U
2 4 2 1
direct
0.1323 0.5725 0.2646
0.8677 0.4275 0.7354
0.8114 0.8065 0.6228
0.1886 0.1935 0.3772
0.4791 0.2215 0.9583
0.5209 0.7785 0.0417
0.3102 0.9754 0.6204
0.6898 0.0246 0.3796
0.0000 0.0000 0.0000

---

4.
Ca2AgSb2 PBE optimized geometry; total magnetic moment = 0.00 Bohr magnetons per cell; VASP energy = -3.634 eV/atom; E_form (uncorrected) = -3.1 eV per formula unit; E above lowest polymorph = 0.090 eV/atom; density = 5175 kg/m3
1.0
7.7585 0.0000 0.0000
0.0000 7.7585 0.0000
0.0000 0.0000 4.6006
Ca Sb Ag
4 4 2
direct
0.8322 0.3322 0.5000
0.6678 0.8322 0.5000
0.1678 0.6678 0.5000
0.3322 0.1678 0.5000
0.1393 0.3607 0.0000
0.6393 0.1393 0.0000
0.8607 0.6393 0.0000
0.3607 0.8607 0.0000
0.0000 0.0000 0.0000
0.5000 0.5000 0.0000

---

5.
Er5Cu2Pd12 PBE optimized geometry; total magnetic moment = 0.00 Bohr magnetons per cell; VASP energy = -5.546 eV/atom; density = 10574 kg/m3
1.0
-7.0683 -0.1909 -0.6645
4.3437 1.1640 -8.5863
-0.2690 -6.0807 4.6089
Er Pd Cu
5 12 2
direct
0.2956 0.5912 0.5755
0.3045 0.6090 0.0918
0.6955 0.3910 0.9082
0.7044 0.4088 0.4245
0.0000 0.0000 0.5000
0.0657 0.7531 0.0147
0.6874 0.7531 0.0147
0.4817 0.9634 0.6579
0.5183 0.0366 0.3421
0.9343 0.2469 0.9853
0.3803 0.3469 0.6362
0.9312 0.8624 0.7660
0.0688 0.1376 0.2340
0.9666 0.3469 0.6362
0.0334 0.6531 0.3638
0.3126 0.2469 0.9853
0.6197 0.6531 0.3638
0.6696 0.0000 0.0000
0.3304 0.0000 0.0000

---

6.
PaTiNbOs PBE optimized geometry; total magnetic moment = 0.00 Bohr magnetons per cell; VASP energy = -9.881 eV/atom; density = 12741 kg/m3
1.0
-4.3207 -1.8396 0.0685
-2.1645 -1.0613 -4.0306
-0.6587 -4.4927 -1.1995
Nb Os Pa Ti
1 1 1 1
direct
0.0000 0.0000 0.0000
0.5000 0.5000 0.5000
0.7500 0.7500 0.7500
0.2500 0.2500 0.2500